Entry 1:
VASP calculation (PBE-GGA) on AgMo2W after structural relaxation.

Summary:
Space-group type: No. 44
Calculated formation energy (eV/atom): 0.477
Energy above the lowest structure with this stoichiometry (meV/atom): 231

a = 5.210 Å, b = 5.210 Å, c = 5.210 Å
α = 142.75°, β = 129.25°, γ = 64.61°
Fractional coordinates of all 4 atoms:
Ag1 0.251 0.751 0.500
Mo1 0.983 0.983 0.000
Mo2 0.749 0.249 0.500
W1 0.517 0.517 0.000

=====

Entry 2:
VASP calculation (PBE-GGA) on MgTaCu after structural relaxation.

Summary:
Space-group type: No. 62
Calculated formation energy (eV/atom): 0.237
Energy above the lowest structure with this stoichiometry (meV/atom): 156

a = 5.726 Å, b = 4.196 Å, c = 8.257 Å
α = 90.00°, β = 90.00°, γ = 90.00°
Fractional coordinates of all 12 atoms:
Mg1 0.059 0.250 0.790
Mg2 0.441 0.750 0.290
Mg3 0.941 0.750 0.210
Mg4 0.559 0.250 0.710
Cu1 0.685 0.250 0.388
Cu2 0.815 0.750 0.888
Cu3 0.315 0.750 0.612
Cu4 0.185 0.250 0.112
Ta1 0.144 0.250 0.438
Ta2 0.356 0.750 0.938
Ta3 0.856 0.750 0.562
Ta4 0.644 0.250 0.062

=====

Entry 3:
VASP calculation (PBE-GGA) on BaIn2GaSn after structural relaxation.

Summary:
Space-group type: No. 44
Calculated formation energy (eV/atom): -0.346

a = 4.907 Å, b = 5.361 Å, c = 6.789 Å
α = 113.26°, β = 111.19°, γ = 90.00°
Fractional coordinates of all 5 atoms:
Ba1 0.448 0.448 0.895
In1 0.701 0.201 0.403
In2 0.068 0.068 0.136
Ga1 0.180 0.680 0.359
Sn1 0.815 0.815 0.630

=====

Entry 4:
VASP calculation (PBE-GGA) on TiCrMoIr after structural relaxation.

Summary:
Space-group type: No. 216
Calculated formation energy (eV/atom): -0.289

a = 4.339 Å, b = 4.339 Å, c = 4.339 Å
α = 60.00°, β = 60.00°, γ = 60.00°
Fractional coordinates of all 4 atoms:
Cr1 0.500 0.500 0.500
Mo1 0.750 0.750 0.750
Ir1 0.250 0.250 0.250
Ti1 0.000 0.000 0.000

=====

Entry 5:
VASP calculation (PBE-GGA) on YSnI3 after structural relaxation.

Summary:
Space-group type: No. 221
Formation energy without anion corrections (eV/f.u.): 0.2
Energy above the lowest structure with this stoichiometry (meV/atom): 511

a = 6.105 Å, b = 6.105 Å, c = 6.105 Å
α = 90.00°, β = 90.00°, γ = 90.00°
Fractional coordinates of all 5 atoms:
I1 0.000 0.500 0.000
I2 0.000 0.000 0.500
I3 0.500 0.000 0.000
Y1 0.500 0.500 0.500
Sn1 0.000 0.000 0.000

=====

Entry 6:
VASP calculation (PBE-GGA) on CaPm12Sm6 after structural relaxation.

Summary:
Space-group type: No. 166
Calculated formation energy (eV/atom): 0.186

a = 8.919 Å, b = 8.919 Å, c = 8.919 Å
α = 98.67°, β = 98.67°, γ = 98.67°
Fractional coordinates of all 19 atoms:
Ca1 0.000 0.000 0.000
Pm1 0.761 0.239 0.500
Pm2 0.358 0.085 0.358
Pm3 0.358 0.358 0.085
Pm4 0.915 0.642 0.642
Pm5 0.642 0.642 0.915
Pm6 0.642 0.915 0.642
Pm7 0.500 0.761 0.239
Pm8 0.239 0.500 0.761
Pm9 0.239 0.761 0.500
Pm10 0.500 0.239 0.761
Pm11 0.761 0.500 0.239
Pm12 0.085 0.358 0.358
Sm1 0.903 0.344 0.903
Sm2 0.903 0.903 0.344
Sm3 0.344 0.903 0.903
Sm4 0.097 0.097 0.656
Sm5 0.097 0.656 0.097
Sm6 0.656 0.097 0.097

=====

Entry 7:
VASP calculation (PBE-GGA) on HfTcBRh2 after structural relaxation.

Summary:
Space-group type: No. 123
Calculated formation energy (eV/atom): -0.166
Energy above the lowest structure with this stoichiometry (meV/atom): 424

a = 4.009 Å, b = 4.552 Å, c = 4.009 Å
α = 90.00°, β = 90.00°, γ = 90.00°
Fractional coordinates of all 5 atoms:
Rh1 0.000 0.000 0.500
Rh2 0.500 0.000 0.000
B1 0.000 0.000 0.000
Hf1 0.000 0.500 0.000
Tc1 0.500 0.500 0.500

=====

Entry 8:
VASP calculation (PBE-GGA) on PuTa2Ru after structural relaxation.

Summary:
Space-group type: No. 166
Calculated formation energy (eV/atom): 0.373
Energy above the lowest structure with this stoichiometry (meV/atom): 373

a = 2.912 Å, b = 2.912 Å, c = 10.382 Å
α = 81.94°, β = 81.94°, γ = 60.00°
Fractional coordinates of all 4 atoms:
Ru1 0.500 0.500 0.500
Ta1 0.904 0.904 0.287
Ta2 0.096 0.096 0.713
Pu1 0.000 0.000 0.000

=====

Entry 9:
VASP calculation (PBE-GGA) on LaFeSe2 after structural relaxation.

Summary:
Space-group type: No. 71
Formation energy without anion corrections (eV/f.u.): -3.7
Energy above the lowest structure with this stoichiometry (meV/atom): 93

a = 5.143 Å, b = 5.143 Å, c = 5.143 Å
α = 131.96°, β = 113.30°, γ = 86.32°
Fractional coordinates of all 4 atoms:
Fe1 0.750 0.250 0.500
La1 0.250 0.750 0.500
Se1 0.956 0.956 0.000
Se2 0.544 0.544 0.000

=====

Entry 10:
VASP calculation (PBE-GGA) on Tc2HgW after structural relaxation.

Summary:
Space-group type: No. 65
Calculated formation energy (eV/atom): 0.536

a = 4.666 Å, b = 4.666 Å, c = 3.054 Å
α = 90.00°, β = 90.00°, γ = 103.16°
Fractional coordinates of all 4 atoms:
Hg1 0.000 0.500 0.500
Tc1 0.000 0.000 0.000
Tc2 0.500 0.500 0.000
W1 0.500 0.000 0.500

=====

Entry 11:
VASP calculation (PBE-GGA) on DyZrInPd after structural relaxation.

Summary:
Space-group type: No. 216
Calculated formation energy (eV/atom): -0.410

a = 5.026 Å, b = 5.026 Å, c = 5.026 Å
α = 60.00°, β = 60.00°, γ = 60.00°
Fractional coordinates of all 4 atoms:
In1 0.500 0.500 0.500
Zr1 0.750 0.750 0.750
Pd1 0.000 0.000 0.000
Dy1 0.250 0.250 0.250

=====

Entry 12:
VASP calculation (PBE-GGA) on AgOs2Pt after structural relaxation.

Summary:
Space-group type: No. 123
Calculated formation energy (eV/atom): 0.606

a = 2.734 Å, b = 2.734 Å, c = 8.252 Å
α = 90.00°, β = 90.00°, γ = 90.00°
Fractional coordinates of all 4 atoms:
Os1 0.000 0.000 0.013
Os2 0.000 0.000 0.487
Ag1 0.500 0.500 0.750
Pt1 0.500 0.500 0.250

=====

Entry 13:
VASP calculation (PBE-GGA) on LaFeAg4 after structural relaxation.

Summary:
Space-group type: No. 216
Calculated formation energy (eV/atom): 0.160

a = 5.592 Å, b = 5.592 Å, c = 5.592 Å
α = 60.00°, β = 60.00°, γ = 60.00°
Fractional coordinates of all 6 atoms:
La1 0.000 0.000 0.000
Fe1 0.750 0.750 0.750
Ag1 0.872 0.376 0.376
Ag2 0.376 0.376 0.872
Ag3 0.376 0.872 0.376
Ag4 0.376 0.376 0.376

=====

Entry 14:
VASP calculation (PBE-GGA) on SrMo2Os after structural relaxation.

Summary:
Space-group type: No. 99
Calculated formation energy (eV/atom): 0.623
Energy above the lowest structure with this stoichiometry (meV/atom): 0

a = 3.197 Å, b = 3.197 Å, c = 7.841 Å
α = 90.00°, β = 90.00°, γ = 90.00°
Fractional coordinates of all 4 atoms:
Mo1 0.000 0.000 0.071
Mo2 0.500 0.500 0.257
Os1 0.000 0.000 0.434
Sr1 0.500 0.500 0.738

=====

Entry 15:
VASP calculation (PBE-GGA) on LaSi2Pt after structural relaxation.

Summary:
Space-group type: No. 6
Formation energy without anion corrections (eV/f.u.): -2.7

a = 4.077 Å, b = 4.533 Å, c = 4.785 Å
α = 83.74°, β = 90.00°, γ = 90.00°
Fractional coordinates of all 4 atoms:
La1 0.000 0.422 0.520
Pt1 0.500 0.807 0.863
Si1 0.000 0.973 0.074
Si2 0.500 0.299 0.043

=====

Entry 16:
VASP calculation (PBE-GGA) on YSc2Ag after structural relaxation.

Summary:
Space-group type: No. 160
Calculated formation energy (eV/atom): 0.034
Energy above the lowest structure with this stoichiometry (meV/atom): 149

a = 3.437 Å, b = 3.437 Å, c = 10.047 Å
α = 80.15°, β = 80.15°, γ = 60.00°
Fractional coordinates of all 4 atoms:
Y1 0.501 0.501 0.498
Sc1 0.074 0.074 0.779
Sc2 0.260 0.260 0.221
Ag1 0.666 0.666 0.002

=====

Entry 17:
VASP calculation (PBE-GGA) on Li2Sn2S5 after structural relaxation.

Summary:
Space-group type: No. 46
Formation energy without anion corrections (eV/f.u.): -5.2
Energy above the lowest structure with this stoichiometry (meV/atom): 0

a = 6.364 Å, b = 6.602 Å, c = 10.246 Å
α = 108.79°, β = 108.09°, γ = 90.00°
Fractional coordinates of all 18 atoms:
Li1 0.000 0.972 0.000
Li2 0.500 0.472 0.000
Li3 0.273 0.312 0.500
Li4 0.727 0.812 0.500
Sn1 0.108 0.671 0.263
Sn2 0.892 0.408 0.737
Sn3 0.655 0.171 0.263
Sn4 0.345 0.908 0.737
S1 0.232 0.693 0.877
S2 0.768 0.816 0.123
S3 0.145 0.193 0.877
S4 0.855 0.316 0.123
S5 0.292 0.035 0.271
S6 0.708 0.764 0.729
S7 0.479 0.535 0.271
S8 0.521 0.264 0.729
S9 0.086 0.665 0.500
S10 0.914 0.165 0.500

=====

Entry 18:
VASP calculation (PBE-GGA) on PmTlZnPt after structural relaxation.

Summary:
Space-group type: No. 216
Calculated formation energy (eV/atom): -0.476

a = 4.946 Å, b = 4.946 Å, c = 4.946 Å
α = 60.00°, β = 60.00°, γ = 60.00°
Fractional coordinates of all 4 atoms:
Tl1 0.500 0.500 0.500
Zn1 0.250 0.250 0.250
Pt1 0.750 0.750 0.750
Pm1 0.000 0.000 0.000

=====

Entry 19:
VASP calculation (PBE-GGA) on CaYCl6 after structural relaxation.

Summary:
Space-group type: No. 2
Formation energy without anion corrections (eV/f.u.): -15.0

a = 6.911 Å, b = 6.829 Å, c = 7.622 Å
α = 57.58°, β = 58.48°, γ = 58.99°
Fractional coordinates of all 8 atoms:
Ca1 0.000 0.000 0.000
Y1 0.500 0.500 0.500
Cl1 0.078 0.440 0.731
Cl2 0.697 0.094 0.799
Cl3 0.618 0.228 0.287
Cl4 0.303 0.906 0.201
Cl5 0.922 0.560 0.269
Cl6 0.382 0.772 0.713

=====

Entry 20:
VASP calculation (PBE-GGA) on NpFeAs after structural relaxation.

Summary:
Space-group type: No. 12
Calculated formation energy (eV/atom): -0.331

a = 4.161 Å, b = 5.058 Å, c = 5.723 Å
α = 94.36°, β = 111.32°, γ = 90.00°
Fractional coordinates of all 6 atoms:
Np1 0.903 0.687 0.805
Np2 0.097 0.313 0.195
Fe1 0.813 0.063 0.627
Fe2 0.187 0.937 0.373
As1 0.380 0.259 0.760
As2 0.620 0.741 0.240